A plane-wave DFT calculation with PBE+U was carried out for a relaxed CoTcAsO crystal.

The structure belongs to space group P4/nmm (No. 129, origin choice 2); the cell edges are 3.599, 3.599 and 7.157 Å and the angles 90.00°, 90.00° and 90.00°. The distinct sites, in fractional coordinates, are Co at (0.250, 0.750, 0.000), Tc at (0.250, 0.250, 0.321), As at (0.250, 0.250, 0.805) and O at (0.250, 0.750, 0.500).

For the total magnetic moment, the calculation gives 0.1652 μB per atom. For the energy above the lowest structure with this stoichiometry, the calculation gives 33.76 kJ/mol of atoms. Its calculated volume is 92.7 Å³/cell. The calculation puts the calculated total energy at -6.270 eV/atom.